[1]
! PuTl2Cd, optimized geometry, DFT GGA-PBE; values from VASP
&SYSTEM
  ibrav = 0, nat = 4, ntyp = 3
/
ATOMIC_SPECIES
Pu 244.00 Pu.upf
Tl 204.38 Tl.upf
Cd 112.41 Cd.upf
ATOMIC_POSITIONS crystal
Pu 0.000 0.000 0.000
Tl 0.579 0.579 0.579
Tl 0.753 0.753 0.753
Cd 0.166 0.166 0.166
CELL_PARAMETERS angstrom
1.716 0.991 10.602
-1.716 0.991 10.602
0.000 -1.981 10.602
! Space-group type   No. 160
! D(E_F)   2.1681 states/eV/atom
! Energy of formation from the pure elements   83 meV per atom
! V   27.04 A^3/atom


[2]
! TlTcW2, optimized geometry, DFT GGA-PBE; values from VASP
&SYSTEM
  ibrav = 0, nat = 4, ntyp = 3
/
ATOMIC_SPECIES
Tl 204.38 Tl.upf
Tc 98.00 Tc.upf
W 183.84 W.upf
ATOMIC_POSITIONS crystal
Tl 0.000 0.000 0.000
Tc 0.500 0.500 0.000
W 0.250 0.750 0.500
W 0.750 0.250 0.500
CELL_PARAMETERS angstrom
-1.966 1.966 4.387
1.966 -1.966 4.387
1.966 1.966 -4.387
! Space-group type   No. 139
! D(E_F)   1.2388 states/eV/atom
! Energy of formation from the pure elements   741 meV per atom
! V   16.96 A^3/atom


[3]
! La2Tb6HoTm3, optimized geometry, DFT GGA-PBE; values from VASP
&SYSTEM
  ibrav = 0, nat = 12, ntyp = 4
/
ATOMIC_SPECIES
La 138.91 La.upf
Tb 158.93 Tb.upf
Ho 164.93 Ho.upf
Tm 168.93 Tm.upf
ATOMIC_POSITIONS crystal
La 0.167 0.833 0.000
La 0.833 0.167 0.000
Tb 0.082 0.414 0.744
Tb 0.254 0.254 0.256
Tb 0.414 0.082 0.744
Tb 0.586 0.918 0.256
Tb 0.746 0.746 0.744
Tb 0.918 0.586 0.256
Ho 0.500 0.500 0.000
Tm 0.000 0.000 0.500
Tm 0.334 0.666 0.500
Tm 0.666 0.334 0.500
CELL_PARAMETERS angstrom
3.095 -5.360 0.000
3.095 5.360 0.000
-2.063 0.000 11.656
! Space-group type   No. 12
! D(E_F)   1.3912 states/eV/atom
! Energy of formation from the pure elements   25 meV per atom
! V   32.23 A^3/atom


[4]
! NaC4, optimized geometry, DFT GGA-PBE; values from VASP
&SYSTEM
  ibrav = 0, nat = 5, ntyp = 2
/
ATOMIC_SPECIES
Na 22.99 Na.upf
C 12.01 C.upf
ATOMIC_POSITIONS crystal
Na 0.000 0.000 0.000
C 0.000 0.000 0.500
C 0.000 0.500 0.000
C 0.500 0.000 0.000
C 0.500 0.500 0.500
CELL_PARAMETERS angstrom
4.180 0.000 0.000
0.000 4.180 0.000
0.000 0.000 4.180
! Space-group type   No. 221
! D(E_F)   0.8035 states/eV/atom
! Energy of formation from the pure elements   5094 meV per atom
! V   14.61 A^3/atom